Compound: HoEr2MoO6
Source: Alexandria
Functional: PBE+U
Structure: optimized geometry

Structure (POSCAR):
```
HoEr2MoO6
1.0
5.684 -0.001 0.001
2.843 4.921 0.000
2.842 1.640 5.005
O Er Ho Mo
6 2 1 1
Direct
0.208 0.928 0.254 O
0.611 0.208 0.254 O
0.928 0.611 0.254 O
0.702 0.121 0.759 O
0.418 0.702 0.759 O
0.121 0.418 0.759 O
0.022 0.022 0.935 Er
0.527 0.527 0.418 Er
0.808 0.808 0.576 Ho
0.318 0.318 0.047 Mo
```

Properties
VASP energy, eV per atom: -8.1404
SG: R3 (146)
N(E_F), states/eV per atom: 0.0000
Theoretical density, g/cm3: 8.20